[1]
The following is a PBE calculation of a geometry-optimized HgS5I structure, from the Alexandria database.

Cell lengths 4.308, 11.949, 9.172 Å; angles 106.30, 112.62, 127.08 degrees
Positions (direct):
S (0.636, 0.525, 0.833)
S (0.132, 0.126, 0.760)
Hg (0.722, 0.266, 0.706)
S (0.490, 0.503, 0.583)
S (0.120, 0.076, 0.272)
S (0.685, 0.209, 0.270)
I (0.746, 0.827, 0.638)

Results
N(E_F): 0.362 states/eV per atom
calculated volume: 249.7 Å³/f.u.
energy relative to the elements, uncorrected: 126 meV/atom

---

[2]
The following is a PBE calculation of a geometry-optimized HgSI structure, from the Alexandria database.

Cell lengths 11.920, 4.496, 8.152 Å; angles 90.00, 91.21, 90.00 degrees
Positions (direct):
I (0.855, 0.975, 0.307)
I (0.145, 0.975, 0.693)
I (0.855, 0.475, 0.807)
Hg (0.295, 0.828, 0.046)
Hg (0.705, 0.328, 0.454)
S (0.571, 0.667, 0.572)
Hg (0.705, 0.828, 0.954)
S (0.429, 0.167, 0.928)
Hg (0.295, 0.328, 0.546)
I (0.145, 0.475, 0.193)
S (0.571, 0.167, 0.072)
S (0.429, 0.667, 0.428)

Results
N(E_F): 0.000 states/eV per atom
calculated volume: 109.2 Å³/f.u.
energy relative to the elements, uncorrected: -137 meV/atom

---

[3]
The following is a PBE calculation of a geometry-optimized HgSI structure, from the Alexandria database.

Cell lengths 4.273, 8.535, 11.512 Å; angles 90.00, 96.81, 90.00 degrees
Positions (direct):
I (0.315, 0.000, 0.668)
I (0.566, 0.000, 0.285)
I (0.315, 0.500, 0.168)
Hg (0.533, 0.789, 0.086)
Hg (0.533, 0.289, 0.586)
Hg (0.533, 0.211, 0.086)
I (0.566, 0.500, 0.785)
S (0.966, 0.378, 0.466)
S (0.966, 0.878, 0.966)
S (0.966, 0.622, 0.466)
Hg (0.533, 0.711, 0.586)
S (0.966, 0.122, 0.966)

Results
calculated volume: 104.2 Å³/f.u.
energy relative to the elements, uncorrected: -100 meV/atom

---

[4]
The following is a PBE calculation of a geometry-optimized Hg2SI2 structure, from the Alexandria database.

Cell lengths 4.576, 12.901, 7.639 Å; angles 79.57, 72.53, 79.76 degrees
Positions (direct):
I (0.501, 0.415, 0.260)
Hg (0.633, 0.172, 0.982)
Hg (0.789, 0.328, 0.517)
I (0.499, 0.585, 0.740)
I (0.824, 0.915, 0.760)
Hg (0.211, 0.672, 0.483)
I (0.176, 0.085, 0.240)
S (0.964, 0.750, 0.250)
Hg (0.367, 0.828, 0.018)
S (0.036, 0.250, 0.750)

Results
N(E_F): 0.000 states/eV per atom
calculated volume: 209.7 Å³/f.u.
energy relative to the elements, uncorrected: -200 meV/atom

---

[5]
The following is a PBE calculation of a geometry-optimized Hg2SI2 structure, from the Alexandria database.

Cell lengths 4.247, 9.963, 10.922 Å; angles 66.57, 78.79, 77.69 degrees
Positions (direct):
Hg (0.130, 0.869, 0.870)
S (0.165, 0.032, 0.638)
S (0.835, 0.968, 0.362)
I (0.601, 0.743, 0.055)
I (0.867, 0.612, 0.654)
Hg (0.675, 0.174, 0.476)
I (0.133, 0.388, 0.346)
I (0.399, 0.257, 0.945)
Hg (0.870, 0.131, 0.130)
Hg (0.325, 0.826, 0.524)

Results
N(E_F): 0.008 states/eV per atom
calculated volume: 205.6 Å³/f.u.
energy relative to the elements, uncorrected: -136 meV/atom

---

[6]
The following is a PBE calculation of a geometry-optimized HgS2I structure, from the Alexandria database.

Cell lengths 4.897, 4.295, 7.408 Å; angles 94.46, 88.92, 66.06 degrees
Positions (direct):
S (0.753, 0.548, 0.814)
Hg (0.279, 0.736, 0.546)
I (0.466, 0.156, 0.305)
S (0.002, 0.060, 0.835)

Results
N(E_F): 0.373 states/eV per atom
calculated volume: 141.8 Å³/f.u.
energy relative to the elements, uncorrected: 29 meV/atom

---

[7]
The following is a PBE calculation of a geometry-optimized HgS2I structure, from the Alexandria database.

Cell lengths 5.736, 5.736, 5.736 Å; angles 56.90, 56.90, 56.90 degrees
Positions (direct):
Hg (0.000, 0.000, 0.000)
S (0.163, 0.163, 0.163)
I (0.500, 0.500, 0.500)
S (0.837, 0.837, 0.837)

Results
N(E_F): 0.795 states/eV per atom
calculated volume: 123.9 Å³/f.u.
energy relative to the elements, uncorrected: 423 meV/atom

---

[8]
The following is a PBE calculation of a geometry-optimized HgS3I structure, from the Alexandria database.

Cell lengths 5.128, 5.128, 5.128 Å; angles 90.00, 90.00, 90.00 degrees
Positions (direct):
S (0.000, 0.500, 0.000)
I (0.000, 0.000, 0.000)
S (0.000, 0.000, 0.500)
S (0.500, 0.000, 0.000)
Hg (0.500, 0.500, 0.500)

Results
N(E_F): 0.895 states/eV per atom
calculated volume: 134.9 Å³/f.u.
energy relative to the elements, uncorrected: 879 meV/atom